VASP calculation (SCAN) on In2O3 at its PBEsol-relaxed geometry.

Output
* M_tot: 0.00 μB per cell
* SG: R-3c
* energy: -188.76 eV per cell

The structure in CIF format:
```
data_In2O3
_symmetry_space_group_name_H-M 'P 1'
_symmetry_Int_Tables_number 1
_symmetry_space_group_name_Hall 'P 1'
_cell_length_a 5.516
_cell_length_b 5.516
_cell_length_c 5.804
_cell_angle_alpha 61.63
_cell_angle_beta 61.63
_cell_angle_gamma 60.00
loop_
_atom_site_label
_atom_site_type_symbol
_atom_site_fract_x
_atom_site_fract_y
_atom_site_fract_z
_atom_site_occupancy
In1 In 0.143 0.143 0.572 1
O1 O 0.750 0.454 0.750 1
O2 O 0.250 0.546 0.250 1
In2 In 0.857 0.857 0.428 1
O3 O 0.046 0.750 0.750 1
O4 O 0.954 0.250 0.250 1
O5 O 0.454 0.046 0.750 1
O6 O 0.546 0.954 0.250 1
In3 In 0.357 0.357 0.928 1
In4 In 0.643 0.643 0.072 1
```



VASP calculation (SCAN) on LiTaTe2 at its PBEsol-relaxed geometry.

Output
* M_tot: 0.00 μB per cell
* SG: Pmm2
* energy: -144.07 eV per cell

The structure in CIF format:
```
data_LiTaTe2
_symmetry_space_group_name_H-M 'P 1'
_symmetry_Int_Tables_number 1
_symmetry_space_group_name_Hall 'P 1'
_cell_length_a 3.652
_cell_length_b 4.325
_cell_length_c 5.555
_cell_angle_alpha 90.00
_cell_angle_beta 90.00
_cell_angle_gamma 90.00
loop_
_atom_site_label
_atom_site_type_symbol
_atom_site_fract_x
_atom_site_fract_y
_atom_site_fract_z
_atom_site_occupancy
Li1 Li 0.000 0.000 0.380 1
Te1 Te 0.000 0.000 0.877 1
Te2 Te 0.500 0.500 0.372 1
Ta1 Ta 0.500 0.500 0.871 1
```



VASP calculation (SCAN) on SrBe3Br at its PBEsol-relaxed geometry.

Output
* M_tot: 0.00 μB per cell
* SG: Pm-3m
* energy: -48.86 eV per cell

The structure in CIF format:
```
data_SrBe3Br
_symmetry_space_group_name_H-M 'P 1'
_symmetry_Int_Tables_number 1
_symmetry_space_group_name_Hall 'P 1'
_cell_length_a 4.756
_cell_length_b 4.756
_cell_length_c 4.756
_cell_angle_alpha 90.00
_cell_angle_beta 90.00
_cell_angle_gamma 90.00
loop_
_atom_site_label
_atom_site_type_symbol
_atom_site_fract_x
_atom_site_fract_y
_atom_site_fract_z
_atom_site_occupancy
Be1 Be 0.000 0.500 0.000 1
Be2 Be 0.500 0.000 0.000 1
Sr1 Sr 0.500 0.500 0.500 1
Br1 Br 0.000 0.000 0.000 1
Be3 Be 0.000 0.000 0.500 1
```



VASP calculation (SCAN) on Sr3ScW at its PBEsol-relaxed geometry.

Output
* M_tot: 1.17 μB per cell
* SG: Pm-3m
* DFT formation energy: 1.8534 eV per atom
* energy: -141.48 eV per cell

The structure in CIF format:
```
data_Sr3ScW
_symmetry_space_group_name_H-M 'P 1'
_symmetry_Int_Tables_number 1
_symmetry_space_group_name_Hall 'P 1'
_cell_length_a 5.918
_cell_length_b 5.918
_cell_length_c 5.918
_cell_angle_alpha 90.00
_cell_angle_beta 90.00
_cell_angle_gamma 90.00
loop_
_atom_site_label
_atom_site_type_symbol
_atom_site_fract_x
_atom_site_fract_y
_atom_site_fract_z
_atom_site_occupancy
Sr1 Sr 0.500 0.000 0.000 1
W1 W 0.500 0.500 0.500 1
Sc1 Sc 0.000 0.000 0.000 1
Sr2 Sr 0.000 0.000 0.500 1
Sr3 Sr 0.000 0.500 0.000 1
```



VASP calculation (SCAN) on AlCr2Br at its PBEsol-relaxed geometry.

Output
* energy above the lowest structure with this stoichiometry: 0 meV/atom
* M_tot: 17.92 μB per cell
* SG: I-42d
* energy: -124.71 eV per cell

The structure in CIF format:
```
data_AlCr2Br
_symmetry_space_group_name_H-M 'P 1'
_symmetry_Int_Tables_number 1
_symmetry_space_group_name_Hall 'P 1'
_cell_length_a 5.863
_cell_length_b 5.863
_cell_length_c 5.863
_cell_angle_alpha 105.08
_cell_angle_beta 105.08
_cell_angle_gamma 118.67
loop_
_atom_site_label
_atom_site_type_symbol
_atom_site_fract_x
_atom_site_fract_y
_atom_site_fract_z
_atom_site_occupancy
Cr1 Cr 0.882 0.875 0.507 1
Al1 Al 0.750 0.250 0.500 1
Cr2 Cr 0.125 0.632 0.007 1
Al2 Al 0.500 0.500 0.000 1
Br1 Br 0.250 0.750 0.500 1
Br2 Br 0.000 0.000 0.000 1
Cr3 Cr 0.625 0.118 0.993 1
Cr4 Cr 0.368 0.375 0.493 1
```



VASP calculation (SCAN) on Cr2TcPt at its PBEsol-relaxed geometry.

Output
* M_tot: 0.00 μB per cell
* SG: C2/m
* DFT formation energy: 0.1246 eV per atom
* energy: -141.52 eV per cell

The structure in CIF format:
```
data_Cr2TcPt
_symmetry_space_group_name_H-M 'P 1'
_symmetry_Int_Tables_number 1
_symmetry_space_group_name_Hall 'P 1'
_cell_length_a 2.548
_cell_length_b 5.034
_cell_length_c 5.034
_cell_angle_alpha 117.35
_cell_angle_beta 102.13
_cell_angle_gamma 102.13
loop_
_atom_site_label
_atom_site_type_symbol
_atom_site_fract_x
_atom_site_fract_y
_atom_site_fract_z
_atom_site_occupancy
Tc1 Tc 0.500 0.500 0.500 1
Pt1 Pt 0.500 0.000 0.000 1
Cr1 Cr 0.000 0.500 0.000 1
Cr2 Cr 0.000 0.000 0.500 1
```



VASP calculation (SCAN) on KNbS3 at its PBEsol-relaxed geometry.

Output
* energy above the lowest structure with this stoichiometry: 0 meV/atom
* M_tot: 0.00 μB per cell
* SG: Pm-3m
* energy: -75.74 eV per cell

The structure in CIF format:
```
data_KNbS3
_symmetry_space_group_name_H-M 'P 1'
_symmetry_Int_Tables_number 1
_symmetry_space_group_name_Hall 'P 1'
_cell_length_a 4.829
_cell_length_b 4.829
_cell_length_c 4.829
_cell_angle_alpha 90.00
_cell_angle_beta 90.00
_cell_angle_gamma 90.00
loop_
_atom_site_label
_atom_site_type_symbol
_atom_site_fract_x
_atom_site_fract_y
_atom_site_fract_z
_atom_site_occupancy
S1 S 0.000 0.500 0.000 1
Nb1 Nb 0.000 0.000 0.000 1
S2 S 0.000 0.000 0.500 1
S3 S 0.500 0.000 0.000 1
K1 K 0.500 0.500 0.500 1
```



VASP calculation (SCAN) on LaIn4Au2 at its PBEsol-relaxed geometry.

Output
* M_tot: 0.00 μB per cell
* SG: Pnma
* DFT formation energy: -0.6097 eV per atom
* energy: -1276.93 eV per cell

The structure in CIF format:
```
data_LaIn4Au2
_symmetry_space_group_name_H-M 'P 1'
_symmetry_Int_Tables_number 1
_symmetry_space_group_name_Hall 'P 1'
_cell_length_a 4.693
_cell_length_b 7.309
_cell_length_c 18.492
_cell_angle_alpha 90.00
_cell_angle_beta 90.00
_cell_angle_gamma 90.00
loop_
_atom_site_label
_atom_site_type_symbol
_atom_site_fract_x
_atom_site_fract_y
_atom_site_fract_z
_atom_site_occupancy
In1 In 0.250 0.680 0.684 1
La1 La 0.250 0.018 0.359 1
Au1 Au 0.250 0.758 0.537 1
In2 In 0.250 0.271 0.689 1
Au2 Au 0.250 0.742 0.037 1
Au3 Au 0.750 0.242 0.463 1
Au4 Au 0.750 0.258 0.963 1
Au5 Au 0.250 0.972 0.782 1
Au6 Au 0.250 0.528 0.282 1
In3 In 0.250 0.150 0.535 1
In4 In 0.750 0.850 0.465 1
La2 La 0.250 0.482 0.859 1
In5 In 0.750 0.180 0.816 1
In6 In 0.750 0.515 0.568 1
In7 In 0.750 0.771 0.811 1
La3 La 0.750 0.982 0.641 1
Au7 Au 0.750 0.028 0.218 1
In8 In 0.750 0.320 0.316 1
In9 In 0.250 0.015 0.932 1
In10 In 0.250 0.350 0.035 1
In11 In 0.250 0.820 0.184 1
Au8 Au 0.750 0.472 0.718 1
La4 La 0.750 0.518 0.141 1
In12 In 0.750 0.650 0.965 1
In13 In 0.250 0.229 0.189 1
In14 In 0.750 0.729 0.311 1
In15 In 0.250 0.485 0.432 1
In16 In 0.750 0.985 0.068 1
```



VASP calculation (SCAN) on LiAsSeBr2 at its PBEsol-relaxed geometry.

Output
* M_tot: 0.00 μB per cell
* SG: P4/mmm
* energy: -80.86 eV per cell

The structure in CIF format:
```
data_LiAsSeBr2
_symmetry_space_group_name_H-M 'P 1'
_symmetry_Int_Tables_number 1
_symmetry_space_group_name_Hall 'P 1'
_cell_length_a 4.653
_cell_length_b 4.653
_cell_length_c 4.896
_cell_angle_alpha 90.00
_cell_angle_beta 90.00
_cell_angle_gamma 90.00
loop_
_atom_site_label
_atom_site_type_symbol
_atom_site_fract_x
_atom_site_fract_y
_atom_site_fract_z
_atom_site_occupancy
As1 As 0.500 0.500 0.500 1
Se1 Se 0.000 0.000 0.500 1
Br1 Br 0.500 0.000 0.000 1
Br2 Br 0.000 0.500 0.000 1
Li1 Li 0.000 0.000 0.000 1
```



VASP calculation (SCAN) on NaPt at its PBEsol-relaxed geometry.

Output
* M_tot: 0.00 μB per cell
* SG: C2/m
* DFT formation energy: -0.2629 eV per atom
* energy: -149.87 eV per cell

The structure in CIF format:
```
data_NaPt
_symmetry_space_group_name_H-M 'P 1'
_symmetry_Int_Tables_number 1
_symmetry_space_group_name_Hall 'P 1'
_cell_length_a 2.786
_cell_length_b 5.203
_cell_length_c 5.265
_cell_angle_alpha 113.92
_cell_angle_beta 90.00
_cell_angle_gamma 105.53
loop_
_atom_site_label
_atom_site_type_symbol
_atom_site_fract_x
_atom_site_fract_y
_atom_site_fract_z
_atom_site_occupancy
Na1 Na 0.883 0.766 0.542 1
Pt1 Pt 0.634 0.267 0.988 1
Na2 Na 0.117 0.234 0.458 1
Pt2 Pt 0.366 0.733 0.012 1
```



VASP calculation (SCAN) on AlFeCl at its PBEsol-relaxed geometry.

Output
* energy above the lowest structure with this stoichiometry: 0 meV/atom
* M_tot: 2.08 μB per cell
* SG: P3m1
* energy: -34.15 eV per cell

The structure in CIF format:
```
data_AlFeCl
_symmetry_space_group_name_H-M 'P 1'
_symmetry_Int_Tables_number 1
_symmetry_space_group_name_Hall 'P 1'
_cell_length_a 3.058
_cell_length_b 3.058
_cell_length_c 5.406
_cell_angle_alpha 90.00
_cell_angle_beta 90.00
_cell_angle_gamma 120.00
loop_
_atom_site_label
_atom_site_type_symbol
_atom_site_fract_x
_atom_site_fract_y
_atom_site_fract_z
_atom_site_occupancy
Al1 Al 0.000 0.000 0.026 1
Fe1 Fe 0.667 0.333 0.331 1
Cl1 Cl 0.333 0.667 0.644 1
```



VASP calculation (SCAN) on K2CdAu2 at its PBEsol-relaxed geometry.

Output
* energy above the lowest structure with this stoichiometry: 47 meV/atom
* M_tot: 0.00 μB per cell
* SG: I4/mmm
* DFT formation energy: -0.2661 eV per atom
* energy: -186.72 eV per cell

The structure in CIF format:
```
data_K2CdAu2
_symmetry_space_group_name_H-M 'P 1'
_symmetry_Int_Tables_number 1
_symmetry_space_group_name_Hall 'P 1'
_cell_length_a 5.980
_cell_length_b 5.980
_cell_length_c 5.980
_cell_angle_alpha 96.37
_cell_angle_beta 116.39
_cell_angle_gamma 116.39
loop_
_atom_site_label
_atom_site_type_symbol
_atom_site_fract_x
_atom_site_fract_y
_atom_site_fract_z
_atom_site_occupancy
Au1 Au 0.000 0.664 0.664 1
Au2 Au 0.000 0.336 0.336 1
Cd1 Cd 0.000 0.000 0.000 1
K1 K 0.500 0.750 0.250 1
K2 K 0.500 0.250 0.750 1
```